Compound: NbNiIr2
Source: Alexandria
Functional: PBE-GGA
Structure: optimized geometry

Cell lengths 3.8268, 3.8268, 17.4775 Å; angles 90.00, 90.00, 90.00 degrees
Last column: nearest neighbours and their distance in Å.
Space group I-42d (No. 122)
Symmetry-distinct sites (fractional):
Nb: 0.0000 0.0000 0.0000  4 Ir 2.63, 4 Ni 2.71
Ni: 0.0000 0.0000 0.5000  4 Ir 2.52, 4 Nb 2.71
Ir: 0.2124 0.2500 0.6250  2 Ir 2.51, 2 Ni 2.52, 2 Nb 2.63

## Properties
offset from the most stable computed form: 561 meV per atom
formation enthalpy at 0 K: 0.1095 eV per atom

Compound: MgFeTeN2
Source: Alexandria
Functional: PBE-GGA
Structure: optimized geometry

Cell lengths 3.7560, 3.7560, 5.4780 Å; angles 90.00, 90.00, 90.00 degrees
Last column: nearest neighbours and their distance in Å.
Space group P4/mmm (No. 123)
Symmetry-distinct sites (fractional):
Mg: 0.0000 0.0000 0.0000  4 Te 2.66
Fe: 0.5000 0.5000 0.5000  4 N 1.88
Te: 0.5000 0.5000 0.0000  4 Mg 2.66, 2 Fe 2.74
N: 0.0000 0.5000 0.5000  2 Fe 1.88

## Properties
offset from the most stable computed form: 0 meV per atom
formation energy from raw total energies: 0.63 eV/atom

Compound: InIr
Source: Alexandria
Functional: PBE-GGA
Structure: optimized geometry

Cell lengths 6.0388, 6.0388, 6.0388 Å; angles 90.00, 90.00, 90.00 degrees
Last column: nearest neighbours and their distance in Å.
Space group F-43m (No. 216)
Symmetry-distinct sites (fractional):
In: 0.0000 0.0000 0.0000  4 Ir 2.61
Ir: 0.2500 0.2500 0.7500  4 In 2.61

## Properties
formation enthalpy at 0 K: 0.9717 eV per atom